--- P ---
Density functional theory data (PBE) for an optimized crystal structure of Pr12Nd5Sc2.

Output
- DOS(E_F): 60.1 states/eV/cell
- Crystal system: monoclinic
- V: 35.35 Å³ per atom

Cell and atoms, written as CIF:
```
data_Pr12Nd5Sc2
_chemical_formula_sum 'Pr24 Nd10 Sc4'
_symmetry_space_group_name_H-M 'C 1 2/m 1'
_symmetry_Int_Tables_number 12
_cell_length_a 22.8114
_cell_length_b 7.1571
_cell_length_c 8.8813
_cell_angle_alpha 90.00
_cell_angle_beta 112.13
_cell_angle_gamma 90.00
loop_
_symmetry_equiv_pos_as_xyz
'x,y,z'
'-x,-y,-z'
'-x,y,-z'
'x,-y,z'
'x+1/2,y+1/2,z'
'-x+1/2,-y+1/2,-z'
'-x+1/2,y+1/2,-z'
'x+1/2,-y+1/2,z'
loop_
_atom_site_label
_atom_site_type_symbol
_atom_site_fract_x
_atom_site_fract_y
_atom_site_fract_z
Pr1 Pr 0.0491 0.0000 0.1999
Pr2 Pr 0.1034 0.2459 0.8754
Pr3 Pr 0.1288 0.5000 0.5221
Pr4 Pr 0.2043 0.2482 0.2928
Nd1 Nd 0.0000 0.5000 0.0000
Nd2 Nd 0.1462 0.0000 0.5943
Nd3 Nd 0.2476 0.5000 0.9847
Sc1 Sc 0.0000 0.2315 0.5000
```

***

--- Q ---
Density functional theory data (PBE) for an optimized crystal structure of Pr12Nd5Sc2.

Output
- DOS(E_F): 63.0 states/eV/cell
- Crystal system: monoclinic
- V: 35.23 Å³ per atom

Cell and atoms, written as CIF:
```
data_Pr12Nd5Sc2
_chemical_formula_sum 'Pr24 Nd10 Sc4'
_symmetry_space_group_name_H-M 'C 1 2/m 1'
_symmetry_Int_Tables_number 12
_cell_length_a 18.7705
_cell_length_b 7.9474
_cell_length_c 9.7834
_cell_angle_alpha 90.00
_cell_angle_beta 113.46
_cell_angle_gamma 90.00
loop_
_symmetry_equiv_pos_as_xyz
'x,y,z'
'-x,-y,-z'
'-x,y,-z'
'x,-y,z'
'x+1/2,y+1/2,z'
'-x+1/2,-y+1/2,-z'
'-x+1/2,y+1/2,-z'
'x+1/2,-y+1/2,z'
loop_
_atom_site_label
_atom_site_type_symbol
_atom_site_fract_x
_atom_site_fract_y
_atom_site_fract_z
Pr1 Pr 0.0148 0.0000 0.1794
Pr2 Pr 0.0206 0.5000 0.6835
Pr3 Pr 0.1516 0.2704 0.3642
Pr4 Pr 0.1554 0.2565 0.9802
Nd1 Nd 0.0000 0.5000 0.0000
Nd2 Nd 0.1873 0.0000 0.6952
Nd3 Nd 0.2087 0.5000 0.7066
Sc1 Sc 0.0000 0.1740 0.5000
```

***

Of them, P has the highest stability.

***

--- P ---
Density functional theory data (PBE) for an optimized crystal structure of Pr8NdSc2.

Output
- DOS(E_F): 33.7 states/eV/cell
- Crystal system: orthorhombic
- V: 34.40 Å³ per atom

Cell and atoms, written as CIF:
```
data_Pr8NdSc2
_chemical_formula_sum 'Pr16 Nd2 Sc4'
_symmetry_space_group_name_H-M 'I m m m'
_symmetry_Int_Tables_number 71
_symmetry_space_group_name_Hall '-I 2 2'
_cell_length_a 5.5762
_cell_length_b 8.5535
_cell_length_c 15.8668
_cell_angle_alpha 90.00
_cell_angle_beta 90.00
_cell_angle_gamma 90.00
loop_
_atom_site_label
_atom_site_type_symbol
_atom_site_fract_x
_atom_site_fract_y
_atom_site_fract_z
Pr1 Pr 0.0000 0.0000 0.1609
Pr2 Pr 0.0000 0.2024 0.3549
Pr3 Pr 0.0000 0.3010 0.0000
Nd1 Nd 0.0000 0.5000 0.5000
Sc1 Sc 0.0000 0.5000 0.2003
```

***

--- Q ---
Density functional theory data (PBE) for an optimized crystal structure of Pr8NdSc2.

Output
- DOS(E_F): 31.0 states/eV/cell
- Crystal system: monoclinic
- V: 34.39 Å³ per atom

Cell and atoms, written as CIF:
```
data_Pr8NdSc2
_chemical_formula_sum 'Pr16 Nd2 Sc4'
_symmetry_space_group_name_H-M 'C 1 2/m 1'
_symmetry_Int_Tables_number 12
_cell_length_a 9.1276
_cell_length_b 16.3584
_cell_length_c 5.9861
_cell_angle_alpha 90.00
_cell_angle_beta 122.17
_cell_angle_gamma 90.00
loop_
_symmetry_equiv_pos_as_xyz
'x,y,z'
'-x,-y,-z'
'-x,y,-z'
'x,-y,z'
'x+1/2,y+1/2,z'
'-x+1/2,-y+1/2,-z'
'-x+1/2,y+1/2,-z'
'x+1/2,-y+1/2,z'
loop_
_atom_site_label
_atom_site_type_symbol
_atom_site_fract_x
_atom_site_fract_y
_atom_site_fract_z
Pr1 Pr 0.0000 0.2085 0.0000
Pr2 Pr 0.0804 0.5000 0.7946
Pr3 Pr 0.2172 0.1207 0.6718
Nd1 Nd 0.0000 0.0000 0.0000
Sc1 Sc 0.0000 0.3098 0.5000
```

***

Of them, P has the highest stability.

***

--- P ---
Density functional theory data (PBE) for an optimized crystal structure of Pr2NdSc2.

Output
- DOS(E_F): 34.2 states/eV/cell
- Crystal system: monoclinic
- V: 30.82 Å³ per atom

Cell and atoms, written as CIF:
```
data_Pr2NdSc2
_chemical_formula_sum 'Pr8 Nd4 Sc8'
_symmetry_space_group_name_H-M 'C 1 2/c 1'
_symmetry_Int_Tables_number 15
_cell_length_a 6.6126
_cell_length_b 15.8102
_cell_length_c 6.6395
_cell_angle_alpha 90.00
_cell_angle_beta 117.37
_cell_angle_gamma 90.00
loop_
_symmetry_equiv_pos_as_xyz
'x,y,z'
'-x,-y,-z'
'-x,y,-z+1/2'
'x,-y,z+1/2'
'x+1/2,y+1/2,z'
'-x+1/2,-y+1/2,-z'
'-x+1/2,y+1/2,-z+1/2'
'x+1/2,-y+1/2,z+1/2'
loop_
_atom_site_label
_atom_site_type_symbol
_atom_site_fract_x
_atom_site_fract_y
_atom_site_fract_z
Pr1 Pr 0.2471 0.0474 0.0009
Nd1 Nd 0.0000 0.3400 0.2500
Sc1 Sc 0.0000 0.1489 0.2500
Sc2 Sc 0.0000 0.2510 0.7500
```

***

--- Q ---
Density functional theory data (PBE) for an optimized crystal structure of Pr2NdSc2.

Output
- DOS(E_F): 31.5 states/eV/cell
- Crystal system: monoclinic
- V: 32.19 Å³ per atom

Cell and atoms, written as CIF:
```
data_Pr2NdSc2
_chemical_formula_sum 'Pr8 Nd4 Sc8'
_symmetry_space_group_name_H-M 'C 1 2/c 1'
_symmetry_Int_Tables_number 15
_cell_length_a 12.9652
_cell_length_b 9.5686
_cell_length_c 5.7990
_cell_angle_alpha 90.00
_cell_angle_beta 116.50
_cell_angle_gamma 90.00
loop_
_symmetry_equiv_pos_as_xyz
'x,y,z'
'-x,-y,-z'
'-x,y,-z+1/2'
'x,-y,z+1/2'
'x+1/2,y+1/2,z'
'-x+1/2,-y+1/2,-z'
'-x+1/2,y+1/2,-z+1/2'
'x+1/2,-y+1/2,z+1/2'
loop_
_atom_site_label
_atom_site_type_symbol
_atom_site_fract_x
_atom_site_fract_y
_atom_site_fract_z
Pr1 Pr 0.1734 0.0816 0.4237
Nd1 Nd 0.0000 0.3943 0.2500
Sc1 Sc 0.1341 0.2996 0.8838
```

***

Of them, P has the highest stability.

***

--- P ---
Density functional theory data (PBE) for an optimized crystal structure of Pr6Nd3Sc.

Output
- DOS(E_F): 57.5 states/eV/cell
- Crystal system: trigonal
- V: 35.16 Å³ per atom

Cell and atoms, written as CIF:
```
data_Pr6Nd3Sc
_chemical_formula_sum 'Pr18 Nd9 Sc3'
_symmetry_space_group_name_H-M 'R -3'
_symmetry_Int_Tables_number 148
_symmetry_space_group_name_Hall '-R 3'
_cell_length_a 10.0862
_cell_length_b 10.0862
_cell_length_c 11.9716
_cell_angle_alpha 90.00
_cell_angle_beta 90.00
_cell_angle_gamma 120.00
loop_
_atom_site_label
_atom_site_type_symbol
_atom_site_fract_x
_atom_site_fract_y
_atom_site_fract_z
Pr1 Pr 0.0007 0.6609 0.4162
Nd1 Nd 0.0000 0.0000 0.2449
Nd2 Nd 0.0000 0.0000 0.5000
Sc1 Sc 0.0000 0.0000 0.0000
```

***

--- Q ---
Density functional theory data (PBE) for an optimized crystal structure of Pr6Nd3Sc.

Output
- DOS(E_F): 52.5 states/eV/cell
- Crystal system: orthorhombic
- V: 35.03 Å³ per atom

Cell and atoms, written as CIF:
```
data_Pr6Nd3Sc
_chemical_formula_sum 'Pr24 Nd12 Sc4'
_symmetry_space_group_name_H-M 'C m c 21'
_symmetry_Int_Tables_number 36
_cell_length_a 11.1019
_cell_length_b 19.3999
_cell_length_c 6.5055
_cell_angle_alpha 90.00
_cell_angle_beta 90.00
_cell_angle_gamma 90.00
loop_
_symmetry_equiv_pos_as_xyz
'x,y,z'
'-x,-y,z+1/2'
'-x,y,z'
'x,-y,z+1/2'
'x+1/2,y+1/2,z'
'-x+1/2,-y+1/2,z+1/2'
'-x+1/2,y+1/2,z'
'x+1/2,-y+1/2,z+1/2'
loop_
_atom_site_label
_atom_site_type_symbol
_atom_site_fract_x
_atom_site_fract_y
_atom_site_fract_z
Pr1 Pr 0.0000 0.0396 0.0000
Pr2 Pr 0.0000 0.2778 0.7674
Pr3 Pr 0.1677 0.4591 0.6805
Pr4 Pr 0.2390 0.2916 0.4928
Nd1 Nd 0.0000 0.3815 0.2004
Nd2 Nd 0.1703 0.1167 0.5775
Sc1 Sc 0.0000 0.1966 0.2405
```

***

Of them, Q has the highest stability.